The following is a GGA+U calculation of a geometry-optimized MnMo2F structure, from Alexandria via LeMat-Bulk.

Structure (extended XYZ):
```
8
Lattice="6.265 0.000 0.000 0.000 6.265 0.000 3.132 3.132 2.981" Properties=species:S:1:pos:R:3 pbc="T T T"
Mo 4.523 1.566 0.745
Mo 1.742 4.699 0.745
Mo 4.699 4.875 2.236
Mo 7.831 7.655 2.236
Mn 0.000 0.000 0.000
Mn 6.265 3.132 1.490
F 3.132 3.132 0.000
F 3.132 6.265 1.490
```

SG   I-42d (122)
Magnetic moment   0.164 μB/atom
E   -4.335 eV per atom
DOS at the Fermi energy   0.668 states/eV per atom
Density   7.545 g cm⁻³